{
  "formula": "Tl4Ni7P6O24",
  "functional": "SCAN",
  "state": "single point on PBEsol structure",
  "lattice": [[-2.006, -3.406, -5.327], [5.008, -6.307, 3.687], [-7.661, -0.033, 4.446]],
  "species": ["Ni", "P", "P", "O", "O", "O", "Ni", "O", "O", "O", "Tl", "O", "P", "O", "O", "Tl", "P", "O", "O", "O", "Ni", "P", "O", "O", "O", "Tl", "O", "O", "O", "Ni", "Ni", "Tl", "O", "O", "O", "O", "O", "Ni", "O", "P", "Ni"],
  "fractional_positions": [[0.998, 0.999, 0.999], [0.274, 0.900, 0.284], [0.734, 0.717, 0.117], [0.504, 0.660, 0.046], [0.199, 0.886, 0.103], [0.138, 0.791, 0.607], [0.011, 0.622, 0.383], [0.858, 0.560, 0.560], [0.863, 0.603, 0.021], [0.174, 0.439, 0.439], [0.475, 0.910, 0.910], [0.788, 0.300, 0.730], [0.013, 0.305, 0.305], [0.863, 0.021, 0.603], [0.138, 0.607, 0.791], [0.532, 0.734, 0.507], [0.274, 0.284, 0.900], [0.802, 0.120, 0.896], [0.109, 0.189, 0.189], [0.145, 0.399, 0.993], [0.183, 0.031, 0.639], [0.006, 0.700, 0.700], [0.889, 0.806, 0.806], [0.226, 0.716, 0.276], [0.504, 0.046, 0.660], [0.532, 0.507, 0.734], [0.878, 0.219, 0.400], [0.145, 0.993, 0.399], [0.504, 0.972, 0.333], [0.828, 0.981, 0.363], [0.011, 0.383, 0.622], [0.510, 0.306, 0.306], [0.802, 0.896, 0.120], [0.504, 0.333, 0.972], [0.199, 0.103, 0.886], [0.788, 0.730, 0.300], [0.226, 0.276, 0.716], [0.828, 0.363, 0.981], [0.878, 0.400, 0.219], [0.734, 0.117, 0.717], [0.183, 0.639, 0.031]],
  "mass_density_g_cm3": 6.14,
  "e_tot_ev_per_atom": -16.918,
  "vol_a3_per_atom": 11.86,
  "raw_formation_energy_mev_per_atom": -1928,
  "magnetic_moment_mub_per_atom": 0.340
}